1.
First-principles (GGA-PBE) data for crystalline Cs2SnHg at its relaxed geometry, as listed in the Alexandria database.

Unit cell a=6.5730 b=6.5730 c=6.5730 alpha=60.00 beta=60.00 gamma=60.00
Closest atoms and distances in Å follow each position.
Sites, in units of the cell vectors:
Hg (0.5000, 0.5000, 0.5000)  8 Cs 4.03
Cs (0.2500, 0.2500, 0.2500)  4 Hg 4.03, 4 Sn 4.03
Cs (0.7500, 0.7500, 0.7500)  4 Hg 4.03, 4 Sn 4.03
Sn (0.0000, 0.0000, 0.0000)  8 Cs 4.03

Properties
ΔE_f in eV/atom: -0.0265

2.
First-principles (GGA-PBE) data for crystalline CrIn3Cl at its relaxed geometry, as listed in the Alexandria database.

Unit cell a=5.3105 b=5.3105 c=5.3105 alpha=90.00 beta=90.00 gamma=90.00
Closest atoms and distances in Å follow each position.
Sites, in units of the cell vectors:
In (0.0000, 0.5000, 0.0000)  2 Cr 2.66
In (0.5000, 0.0000, 0.0000)  2 Cr 2.66
In (0.0000, 0.0000, 0.5000)  2 Cr 2.66
Cl (0.5000, 0.5000, 0.5000)  12 In 3.76
Cr (0.0000, 0.0000, 0.0000)  6 In 2.66

Properties
Formation energy (no corrections) in eV per formula unit: 0.8

3.
First-principles (GGA-PBE) data for crystalline Y2SbCl at its relaxed geometry, as listed in the Alexandria database.

Unit cell a=4.1633 b=4.1633 c=6.1647 alpha=90.00 beta=90.00 gamma=90.00
Closest atoms and distances in Å follow each position.
Sites, in units of the cell vectors:
Y (0.5000, 0.5000, 0.3332)  4 Cl 2.97, 2 Sb 3.08-3.09
Y (0.0000, 0.0000, 0.9420)  1 Cl 2.77, 4 Sb 3.02
Cl (0.0000, 0.0000, 0.3921)  5 Y 2.77-2.97
Sb (0.5000, 0.5000, 0.8327)  6 Y 3.02-3.09

Properties
Formation energy (no corrections) in eV per formula unit: -4.6

4.
First-principles (GGA-PBE) data for crystalline KBaSbIr2 at its relaxed geometry, as listed in the Alexandria database.

Unit cell a=5.0813 b=5.7438 c=5.0813 alpha=90.00 beta=90.00 gamma=90.00
Closest atoms and distances in Å follow each position.
Sites, in units of the cell vectors:
Sb (0.0000, 0.0000, 0.0000)  4 Ir 2.54
Ba (0.5000, 0.5000, 0.5000)  4 K 3.59, 8 Ir 3.83
Ir (0.0000, 0.0000, 0.5000)  2 Sb 2.54
Ir (0.5000, 0.0000, 0.0000)  2 Sb 2.54
K (0.0000, 0.5000, 0.0000)  2 Sb 2.87

Properties
Formation energy (no corrections) in eV per formula unit: 2.7

5.
First-principles (GGA-PBE) data for crystalline KCa2F6 at its relaxed geometry, as listed in the Alexandria database.

Unit cell a=3.9021 b=3.9021 c=9.6383 alpha=101.68 beta=101.68 gamma=90.00
Closest atoms and distances in Å follow each position.
Sites, in units of the cell vectors:
F (0.8988, 0.3988, 0.7977)  2 Ca 2.38
F (0.2500, 0.7500, 0.5000)  4 Ca 2.39
F (0.3988, 0.8988, 0.7977)  2 Ca 2.38
F (0.1012, 0.6012, 0.2023)  2 Ca 2.38
F (0.6012, 0.1012, 0.2023)  2 Ca 2.38
F (0.7500, 0.2500, 0.5000)  4 Ca 2.39
Ca (0.6751, 0.6751, 0.3503)  8 F 2.38-2.39
Ca (0.3249, 0.3249, 0.6497)  8 F 2.38-2.39
K (0.0000, 0.0000, 0.0000)  8 F 2.70

Properties
Formation energy (no corrections) in eV per formula unit: -28.9

6.
First-principles (GGA-PBE) data for crystalline CdIrOs2 at its relaxed geometry, as listed in the Alexandria database.

Unit cell a=2.7983 b=2.7983 c=8.0270 alpha=90.00 beta=90.00 gamma=90.00
Closest atoms and distances in Å follow each position.
Sites, in units of the cell vectors:
Cd (0.0000, 0.0000, 0.5000)  4 Cd 2.80, 4 Ir 2.95, 4 Os 2.98
Os (0.5000, 0.5000, 0.2223)  8 Os 2.64-2.80
Os (0.0000, 0.0000, 0.0055)  8 Os 2.64-2.80, 4 Ir 2.72
Ir (0.5000, 0.5000, 0.7723)  4 Os 2.72, 4 Ir 2.80, 4 Cd 2.95

Properties
ΔE_f in eV/atom: 0.2260

7.
First-principles (GGA-PBE) data for crystalline MgBiAs3 at its relaxed geometry, as listed in the Alexandria database.

Unit cell a=5.0115 b=5.0115 c=5.0115 alpha=90.00 beta=90.00 gamma=90.00
Closest atoms and distances in Å follow each position.
Sites, in units of the cell vectors:
As (0.0000, 0.5000, 0.0000)  2 Mg 2.51
As (0.0000, 0.0000, 0.5000)  2 Mg 2.51
As (0.5000, 0.0000, 0.0000)  2 Mg 2.51
Mg (0.0000, 0.0000, 0.0000)  6 As 2.51
Bi (0.5000, 0.5000, 0.5000)  12 As 3.54

Properties
ΔE_f in eV/atom: 0.5360

8.
First-principles (GGA-PBE) data for crystalline Li4ZnPt2 at its relaxed geometry, as listed in the Alexandria database.

Unit cell a=9.0374 b=5.5444 c=7.0162 alpha=142.17 beta=90.00 gamma=90.00
Closest atoms and distances in Å follow each position.
Sites, in units of the cell vectors:
Pt (0.4989, 0.2609, 0.4992)  8 Li 2.55-2.81, 2 Zn 2.59-2.60, 1 Pt 2.64
Pt (0.9989, 0.2391, 0.5008)  8 Li 2.55-2.81, 2 Zn 2.59-2.60, 1 Pt 2.64
Pt (0.5011, 0.7391, 0.5008)  8 Li 2.55-2.81, 2 Zn 2.59-2.60, 1 Pt 2.64
Pt (0.0011, 0.7609, 0.4992)  8 Li 2.55-2.81, 2 Zn 2.59-2.60, 1 Pt 2.64
Li (0.7327, 0.0051, 0.4997)  2 Li 2.49, 4 Pt 2.55-2.78
Li (0.2327, 0.4949, 0.5003)  2 Li 2.49, 4 Pt 2.55-2.78
Li (0.1296, 0.5099, 0.0002)  3 Li 2.34-2.49
Li (0.7673, 0.5051, 0.4997)  2 Li 2.49, 4 Pt 2.55-2.78
Li (0.6296, 0.9901, 0.9998)  3 Li 2.34-2.49
Li (0.2673, 0.9949, 0.5003)  2 Li 2.49, 4 Pt 2.55-2.78
Li (0.8704, 0.4901, 0.9998)  3 Li 2.34-2.49
Li (0.3704, 0.0099, 0.0002)  3 Li 2.34-2.49
Zn (0.5000, 0.5000, 0.0000)  4 Pt 2.59-2.60
Zn (0.0000, 0.0000, 0.0000)  4 Pt 2.59-2.60

Properties
ΔE_f in eV/atom: -0.4698